(1)
Density functional theory data (PBE) for a relaxed structure of MgMnH3.

Calculated values
- Size of the total moment: 0.08 Bohr magnetons per cell
- E: -21.32 eV per formula unit

Cell: 5.108 5.108 5.108 Å, 51.00 51.00 51.00°
Element x y z (fractional)
Mg (0.106, 0.106, 0.106)
Mg (0.894, 0.894, 0.894)
Mn (0.316, 0.316, 0.316)
Mn (0.684, 0.684, 0.684)
H (0.099, 0.585, 0.585)
H (0.415, 0.415, 0.901)
H (0.415, 0.901, 0.415)
H (0.585, 0.099, 0.585)
H (0.585, 0.585, 0.099)
H (0.901, 0.415, 0.415)

***

(2)
Density functional theory data (PBE) for a relaxed structure of Cs3Cd2Au.

Calculated values
- Size of the total moment: 0.00 Bohr magnetons per cell
- ΔE_f: -0.80 eV/f.u.

Cell: 8.320 8.320 9.108 Å, 99.54 99.54 87.98°
Element x y z (fractional)
Cs (0.108, 0.892, 0.750)
Cs (0.248, 0.404, 0.012)
Cs (0.404, 0.248, 0.512)
Cs (0.596, 0.752, 0.488)
Cs (0.752, 0.596, 0.988)
Cs (0.892, 0.108, 0.250)
Cd (0.044, 0.574, 0.375)
Cd (0.426, 0.956, 0.125)
Cd (0.574, 0.044, 0.875)
Cd (0.956, 0.426, 0.625)
Au (0.204, 0.796, 0.250)
Au (0.796, 0.204, 0.750)

***

(3)
Density functional theory data (PBE) for a relaxed structure of La2HgOs.

Calculated values
- Size of the total moment: 0.00 Bohr magnetons per cell
- ΔE_f: -0.37 eV/f.u.

Cell: 7.090 7.090 7.090 Å, 151.22 139.92 50.09°
Element x y z (fractional)
La (0.000, 0.000, 0.000)
La (0.700, 0.200, 0.500)
Hg (0.375, 0.375, 0.000)
Os (0.182, 0.682, 0.500)

***

(4)
Density functional theory data (PBE) for a relaxed structure of LaRe2Te.

Calculated values
- Energy relative to the elements, uncorrected: 289 kJ/mol of formula units
- Size of the total moment: 0.00 Bohr magnetons per cell

Cell: 3.217 4.508 6.113 Å, 90.00 90.00 90.00°
Element x y z (fractional)
La (0.000, 0.000, 0.000)
Re (0.500, 0.500, 0.309)
Re (0.500, 0.500, 0.691)
Te (0.000, 0.000, 0.500)

***

(5)
Density functional theory data (PBE) for a relaxed structure of La3Hg2I8.

Calculated values
- Energy relative to the elements, uncorrected: -1520 kJ/mol of formula units
- Size of the total moment: 1.36 Bohr magnetons per cell

Cell: 11.204 11.204 8.148 Å, 90.62 90.62 46.95°
Element x y z (fractional)
La (0.000, 0.000, 0.000)
La (0.282, 0.718, 0.500)
La (0.718, 0.282, 0.500)
Hg (0.252, 0.252, 0.005)
Hg (0.748, 0.748, 0.995)
I (0.087, 0.087, 0.334)
I (0.162, 0.666, 0.172)
I (0.334, 0.838, 0.828)
I (0.396, 0.396, 0.649)
I (0.604, 0.604, 0.351)
I (0.666, 0.162, 0.172)
I (0.838, 0.334, 0.828)
I (0.913, 0.913, 0.666)

***

(6)
Density functional theory data (PBE) for a relaxed structure of KNp2Br7.

Calculated values
- Energy relative to the elements, uncorrected: -1310 kJ/mol of formula units
- Size of the total moment: 8.00 Bohr magnetons per cell

Cell: 8.703 8.703 5.729 Å, 90.00 90.00 116.23°
Element x y z (fractional)
K (0.000, 0.000, 0.000)
Np (0.303, 0.697, 0.500)
Np (0.697, 0.303, 0.500)
Br (0.049, 0.325, 0.500)
Br (0.293, 0.707, 0.000)
Br (0.325, 0.049, 0.500)
Br (0.500, 0.500, 0.500)
Br (0.675, 0.951, 0.500)
Br (0.707, 0.293, 0.000)
Br (0.951, 0.675, 0.500)

***

(7)
Density functional theory data (PBE) for a relaxed structure of UTl2Br3F3.

Calculated values
- Energy relative to the elements, uncorrected: -1715 kJ/mol of formula units
- Size of the total moment: 2.00 Bohr magnetons per cell

Cell: 8.523 8.523 3.715 Å, 90.00 90.00 120.00°
Element x y z (fractional)
U (0.000, 0.000, 0.000)
Tl (0.333, 0.667, 0.500)
Tl (0.667, 0.333, 0.500)
Br (0.000, 0.644, 0.000)
Br (0.356, 0.356, 0.000)
Br (0.644, 0.000, 0.000)
F (0.000, 0.171, 0.500)
F (0.171, 0.000, 0.500)
F (0.829, 0.829, 0.500)

***

(8)
Density functional theory data (PBE) for a relaxed structure of Dy4YRh4.

Calculated values
- Size of the total moment: 0.00 Bohr magnetons per cell
- ΔE_f: -5.95 eV/f.u.

Cell: 8.799 8.799 5.621 Å, 90.00 90.00 90.00°
Element x y z (fractional)
Dy (0.069, 0.662, 0.158)
Dy (0.162, 0.931, 0.658)
Dy (0.338, 0.569, 0.658)
Dy (0.431, 0.838, 0.158)
Dy (0.569, 0.162, 0.842)
Dy (0.662, 0.431, 0.342)
Dy (0.838, 0.069, 0.342)
Dy (0.931, 0.338, 0.842)
Y (0.250, 0.250, 0.250)
Y (0.750, 0.750, 0.750)
Rh (0.029, 0.625, 0.655)
Rh (0.125, 0.971, 0.155)
Rh (0.375, 0.529, 0.155)
Rh (0.471, 0.875, 0.655)
Rh (0.529, 0.125, 0.345)
Rh (0.625, 0.471, 0.845)
Rh (0.875, 0.029, 0.845)
Rh (0.971, 0.375, 0.345)